DFT (PBE) results for crystalline Ca4CuHg at its relaxed geometry.

Geometry as POSCAR:
```
Ca4CuHg
1.0
-4.417 0.406 -2.736
-2.461 -2.935 3.537
-1.801 6.040 3.788
Ca Cu Hg
4 1 1
Cartesian
-5.126 -1.177 3.121
-6.004 1.747 4.962
-2.565 3.013 4.560
-1.688 0.087 2.723
-3.358 0.083 5.416
-5.235 4.773 4.166
```

Values from the calculation:
spin magnetization: 0.000 μB per atom
SG: C2, No. 5
formation enthalpy at 0 K: -0.124 eV per atom
ρ: 3.53 g cm⁻³